Below is crystalline CeDy6Y3 at its relaxed geometry, with properties calculated at the PBE level.

Calculated values
ΔH_f (0 K) in eV per atom: 0.238
E_tot in eV per atom: -5.06

Cell lengths 5.4846, 10.0566, 12.2444 Å; angles 90.00, 102.35, 90.00 degrees
Closest atoms and distances in Å follow each position.
Space group P2_1/c (No. 14)
Inequivalent atoms, fractional coordinates:
Ce1 0.0000 0.0000 0.0000 x2  6 Dy 3.19-3.57
Dy1 0.0009 0.1802 0.5011 x4  1 Ce 3.22, 3 Y 3.29-3.50, 3 Dy 3.47-3.57
Dy2 0.1218 0.0019 0.2663 x4  2 Y 3.15-3.46, 1 Ce 3.19, 1 Dy 3.45
Dy3 0.4136 0.6699 0.3589 x4  4 Y 3.39-3.73, 5 Dy 3.45-3.77, 2 Ce 3.57-3.72
Y1 0.4139 0.1687 0.8578 x4  8 Dy 3.39-3.75, 2 Ce 3.57-3.72, 1 Y 3.74
Y2 0.5000 0.0000 0.5000 x2  6 Dy 3.15-3.29